1.
First-principles (GGA-PBEsol) data for crystalline K3As11 at its relaxed geometry, as listed in Alexandria.

Cell: 10.9644 14.5244 10.5812 Å, 90.00 90.00 90.00°
Closest atoms and distances in Å follow each position.
Element x y z (fractional)
K 0.0000 0.2062 0.2500  7 As 3.34-3.47
K 0.0000 0.7938 0.7500  7 As 3.34-3.47
K 0.2335 0.4841 0.0925  7 As 3.34-3.61
K 0.2335 0.5159 0.5925  7 As 3.34-3.61
K 0.2665 0.0159 0.5925  7 As 3.34-3.61
K 0.2665 0.9841 0.0925  7 As 3.34-3.61
K 0.5000 0.2938 0.7500  7 As 3.34-3.47
K 0.5000 0.7062 0.2500  7 As 3.34-3.47
K 0.7335 0.0159 0.9075  7 As 3.34-3.61
K 0.7335 0.9841 0.4075  7 As 3.34-3.61
K 0.7665 0.4841 0.4075  7 As 3.34-3.61
K 0.7665 0.5159 0.9075  7 As 3.34-3.61
As 0.0000 0.0237 0.7500  2 As 2.41
As 0.0000 0.9763 0.2500  2 As 2.41
As 0.0327 0.3623 0.4845  2 As 2.41
As 0.0327 0.6377 0.9845  2 As 2.41
As 0.0774 0.1325 0.9020  3 As 2.41-2.48
As 0.0774 0.8675 0.4020  3 As 2.41-2.48
As 0.0837 0.3919 0.8271  3 As 2.41-2.48
As 0.0837 0.6081 0.3271  3 As 2.41-2.48
As 0.1128 0.2172 0.5564  3 As 2.41-2.48
As 0.1128 0.7828 0.0564  3 As 2.41-2.48
As 0.1904 0.2465 0.7733  3 As 2.48
As 0.1904 0.7535 0.2733  3 As 2.48
As 0.3096 0.2535 0.2733  3 As 2.48
As 0.3096 0.7465 0.7733  3 As 2.48
As 0.3872 0.2828 0.0564  3 As 2.41-2.48
As 0.3872 0.7172 0.5564  3 As 2.41-2.48
As 0.4163 0.1081 0.3271  3 As 2.41-2.48
As 0.4163 0.8919 0.8271  3 As 2.41-2.48
As 0.4226 0.3675 0.4020  3 As 2.41-2.48
As 0.4226 0.6325 0.9020  3 As 2.41-2.48
As 0.4673 0.1377 0.9845  2 As 2.41
As 0.4673 0.8623 0.4845  2 As 2.41
As 0.5000 0.4763 0.2500  2 As 2.41
As 0.5000 0.5237 0.7500  2 As 2.41
As 0.5327 0.1377 0.5155  2 As 2.41
As 0.5327 0.8623 0.0155  2 As 2.41
As 0.5774 0.3675 0.0980  3 As 2.41-2.48
As 0.5774 0.6325 0.5980  3 As 2.41-2.48
As 0.5837 0.1081 0.1729  3 As 2.41-2.48
As 0.5837 0.8919 0.6729  3 As 2.41-2.48
As 0.6128 0.2828 0.4436  3 As 2.41-2.48
As 0.6128 0.7172 0.9436  3 As 2.41-2.48
As 0.6904 0.2535 0.2267  3 As 2.48
As 0.6904 0.7465 0.7267  3 As 2.48
As 0.8096 0.2465 0.7267  3 As 2.48
As 0.8096 0.7535 0.2267  3 As 2.48
As 0.8872 0.2172 0.9436  3 As 2.41-2.48
As 0.8872 0.7828 0.4436  3 As 2.41-2.48
As 0.9163 0.3919 0.6729  3 As 2.41-2.48
As 0.9163 0.6081 0.1729  3 As 2.41-2.48
As 0.9226 0.1325 0.5980  3 As 2.41-2.48
As 0.9226 0.8675 0.0980  3 As 2.41-2.48
As 0.9673 0.3623 0.0155  2 As 2.41
As 0.9673 0.6377 0.5155  2 As 2.41

Values from the calculation:
As for the total energy: -4.468 eV/atom. As for the energy relative to the elements: -0.21 eV per atom. The calculation puts the magnetization at 0.00 μB/f.u.



2.
First-principles (GGA-PBEsol) data for crystalline K2As3 at its relaxed geometry, as listed in Alexandria.

Cell: 3.8356 3.8356 11.4456 Å, 90.00 90.00 120.00°
Closest atoms and distances in Å follow each position.
Element x y z (fractional)
K 0.3333 0.6667 0.2914  6 As 3.26-3.53
K 0.6667 0.3333 0.7086  6 As 3.26-3.53
As 0.0000 0.0000 0.5000  6 K 3.26
As 0.3333 0.6667 0.9483  3 As 2.51
As 0.6667 0.3333 0.0517  3 As 2.51

Values from the calculation:
Its density of states at the Fermi level is 2.31 states/eV/cell. As for the total energy: -3.568 eV/atom. As for the energy relative to the elements: -0.05 eV per atom. The calculation puts the magnetization at 0.00 μB/f.u.



3.
First-principles (GGA-PBEsol) data for crystalline K3As at its relaxed geometry, as listed in Alexandria.

Cell: 6.4054 6.4054 6.4054 Å, 90.00 90.00 90.00°
Closest atoms and distances in Å follow each position.
Element x y z (fractional)
K 0.0000 0.2500 0.5000  2 K 3.20, 4 As 3.58
K 0.0000 0.7500 0.5000  2 K 3.20, 4 As 3.58
K 0.2500 0.5000 0.0000  2 K 3.20, 4 As 3.58
K 0.5000 0.0000 0.2500  2 K 3.20, 4 As 3.58
K 0.5000 0.0000 0.7500  2 K 3.20, 4 As 3.58
K 0.7500 0.5000 0.0000  2 K 3.20, 4 As 3.58
As 0.0000 0.0000 0.0000  12 K 3.58
As 0.5000 0.5000 0.5000  12 K 3.58

Values from the calculation:
As for the total energy: -2.390 eV/atom. As for the energy relative to the elements: -0.26 eV per atom. The calculation puts the magnetization at 0.00 μB/f.u.



4.
First-principles (GGA-PBEsol) data for crystalline KLa2As at its relaxed geometry, as listed in Alexandria.

Cell: 4.0514 4.0514 8.7257 Å, 90.00 90.00 90.00°
Closest atoms and distances in Å follow each position.
Element x y z (fractional)
K 0.0000 0.0000 0.0000  1 La 3.45, 4 As 3.75
La 0.0000 0.0000 0.6046  4 As 3.05
La 0.5000 0.5000 0.3856  1 As 2.94
As 0.5000 0.5000 0.7230  5 La 2.94-3.05

Values from the calculation:
Its density of states at the Fermi level is 3.96 states/eV/cell. As for the total energy: -4.679 eV/atom. As for the energy relative to the elements: -0.45 eV per atom. The calculation puts the magnetization at 0.01 μB/f.u.



5.
First-principles (GGA-PBEsol) data for crystalline K2LaAs at its relaxed geometry, as listed in Alexandria.

Cell: 3.3747 3.3747 12.2508 Å, 90.00 90.00 90.00°
Closest atoms and distances in Å follow each position.
Element x y z (fractional)
K 0.0000 0.0000 0.1841  4 As 3.28, 4 K 3.37
K 0.0000 0.0000 0.8159  4 As 3.28, 4 K 3.37
La 0.5000 0.5000 0.5000  4 La 3.37
As 0.5000 0.5000 0.0000  8 K 3.28, 4 As 3.37

Values from the calculation:
Its density of states at the Fermi level is 4.74 states/eV/cell. As for the total energy: -2.994 eV/atom. As for the energy relative to the elements: 0.19 eV per atom. The calculation puts the magnetization at 0.04 μB/f.u.



6.
First-principles (GGA-PBEsol) data for crystalline K2LaAs at its relaxed geometry, as listed in Alexandria.

Cell: 4.2703 4.1241 10.5012 Å, 90.00 101.67 90.00°
Closest atoms and distances in Å follow each position.
Element x y z (fractional)
K 0.0000 0.0000 0.0000  1 As 3.62
K 0.3151 0.5000 0.6371  2 As 3.58, 2 La 3.95
La 0.6551 0.5000 0.3137  4 As 2.99
As 0.1742 0.0000 0.3522  4 La 2.99

Values from the calculation:
Its density of states at the Fermi level is 2.41 states/eV/cell. As for the total energy: -3.684 eV/atom. As for the energy relative to the elements: -0.50 eV per atom. The calculation puts the magnetization at 0.00 μB/f.u.